Below is a relaxed structure of TaCr2SO, with properties calculated at the PBE+U level.

Calculated values
Space-group type: P4/mmm, No. 123
N(E_F), states/eV/cell: 5.9
Volume, A^3/atom: 25.06
DFT total energy, eV/cell: -30.0
Crystal system: tetragonal
Mass density, Mg/m³: 4.4

abc: 5.2462 4.5530 5.2462
angles: 90.00 90.00 90.00
Positions (direct):
Cr: 0.0000 0.0000 0.5000
Cr: 0.5000 0.0000 0.0000
S: 0.0000 0.5000 0.0000
O: 0.5000 0.5000 0.5000
Ta: 0.0000 0.0000 0.0000